DFT (GGA-PBE) results for a geometry-optimized NaTeP2Cl structure.

a = 5.023 Å, b = 5.023 Å, c = 5.918 Å
α = 90.00°, β = 90.00°, γ = 90.00°
Fractional positions:
P 0.500 0.000 0.000
P 0.000 0.500 0.000
Na 0.500 0.500 0.500
Te 0.000 0.000 0.000
Cl 0.000 0.000 0.500

Space-group type = P4/mmm (123)
Energy = -0.1130 hartree per atom
Formation energy from raw total energies = 350 meV/atom
Offset from the most stable computed form = 0.0 kJ per mole of atoms
Calculated volume = 29.856 A^3/atom